First-principles (PBE) data for crystalline IrPtRhO6 at its relaxed geometry, as listed in Alexandria via LeMat-Bulk.

Properties
D(E_F): 15.7 states/eV per cell
mass density: 9.86 g/cm3
volume: 197.4 Å³/cell
VASP energy: -113.85 eV for the cell shown
ΔE_f (raw): -547 meV/atom

Cell and atoms, written as CIF:
```
data_IrPtRhO6
_cell_length_a 5.1587
_cell_length_b 5.1587
_cell_length_c 8.5638
_cell_angle_alpha 90.00
_cell_angle_beta 90.00
_cell_angle_gamma 120.00
_space_group_name_H-M_alt 'P -3 1 c'
_space_group_IT_number 163
_space_group_name_Hall '-P 3 2c'
loop_
_atom_site_label
_atom_site_type_symbol
_atom_site_fract_x
_atom_site_fract_y
_atom_site_fract_z
Ir1 Ir 0.3333 0.6667 0.2500
Pt1 Pt 0.3333 0.6667 0.7500
Rh1 Rh 0.0000 0.0000 0.0000
O1 O 0.0051 0.3486 0.1229
```

First-principles (PBE) data for crystalline SbIrPtO6 at its relaxed geometry, as listed in Alexandria via LeMat-Bulk.

Properties
D(E_F): 2.1 states/eV per cell
mass density: 9.81 g/cm3
volume: 204.8 Å³/cell
VASP energy: -111.03 eV for the cell shown
ΔE_f (raw): -749 meV/atom

Cell and atoms, written as CIF:
```
data_SbIrPtO6
_cell_length_a 5.2081
_cell_length_b 5.2081
_cell_length_c 8.7203
_cell_angle_alpha 90.00
_cell_angle_beta 90.00
_cell_angle_gamma 120.00
_space_group_name_H-M_alt 'P -3 1 c'
_space_group_IT_number 163
_space_group_name_Hall '-P 3 2c'
loop_
_atom_site_label
_atom_site_type_symbol
_atom_site_fract_x
_atom_site_fract_y
_atom_site_fract_z
Sb1 Sb 0.3333 0.6667 0.2500
Ir1 Ir 0.0000 0.0000 0.0000
Pt1 Pt 0.3333 0.6667 0.7500
O1 O 0.0037 0.3447 0.1235
```

First-principles (PBE) data for crystalline ScIrPtO6 at its relaxed geometry, as listed in Alexandria via LeMat-Bulk.

Properties
D(E_F): 10.6 states/eV per cell
mass density: 8.68 g/cm3
volume: 202.0 Å³/cell
VASP energy: -125.62 eV for the cell shown
ΔE_f (raw): -1314 meV/atom

Cell and atoms, written as CIF:
```
data_ScIrPtO6
_cell_length_a 5.1420
_cell_length_b 5.1420
_cell_length_c 8.8237
_cell_angle_alpha 90.00
_cell_angle_beta 90.00
_cell_angle_gamma 120.00
_space_group_name_H-M_alt 'P -3 1 c'
_space_group_IT_number 163
_space_group_name_Hall '-P 3 2c'
loop_
_atom_site_label
_atom_site_type_symbol
_atom_site_fract_x
_atom_site_fract_y
_atom_site_fract_z
Sc1 Sc 0.3333 0.6667 0.2500
Ir1 Ir 0.0000 0.0000 0.0000
Pt1 Pt 0.3333 0.6667 0.7500
O1 O 0.0014 0.3239 0.6224
```

First-principles (PBE) data for crystalline SrIr2PtO8 at its relaxed geometry, as listed in Alexandria via LeMat-Bulk.

Properties
D(E_F): 12.6 states/eV per cell
mass density: 8.73 g/cm3
volume: 302.6 Å³/cell
VASP energy: -151.52 eV for the cell shown
ΔE_f (raw): -887 meV/atom

Cell and atoms, written as CIF:
```
data_SrIr2PtO8
_cell_length_a 6.960
_cell_length_b 6.639
_cell_length_c 6.552
_cell_angle_alpha 90.00
_cell_angle_beta 91.94
_cell_angle_gamma 90.00
_space_group_name_H-M_alt 'C 1 2/m 1'
_space_group_IT_number 12
loop_
_space_group_symop_operation_xyz
'x,y,z'
'-x,-y,-z'
'-x,y,-z'
'x,-y,z'
'x+1/2,y+1/2,z'
'-x+1/2,-y+1/2,-z'
'-x+1/2,y+1/2,-z'
'x+1/2,-y+1/2,z'
loop_
_atom_site_label
_atom_site_type_symbol
_atom_site_fract_x
_atom_site_fract_y
_atom_site_fract_z
Sr1 Sr 0.000 0.000 0.000
Ir1 Ir 0.001 0.500 0.253
Pt1 Pt 0.000 0.000 0.500
O1 O 0.036 0.215 0.723
O2 O 0.164 0.500 0.017
O3 O 0.184 0.500 0.500
```

First-principles (PBE) data for crystalline SrIrPtO2 at its relaxed geometry, as listed in Alexandria via LeMat-Bulk.

Properties
D(E_F): 7.6 states/eV per cell
mass density: 7.48 g/cm3
volume: 112.5 Å³/cell
VASP energy: -21.91 eV for the cell shown
ΔE_f (raw): 917 meV/atom

Cell and atoms, written as CIF:
```
data_SrIrPtO2
_cell_length_a 4.130
_cell_length_b 4.130
_cell_length_c 6.596
_cell_angle_alpha 90.00
_cell_angle_beta 90.00
_cell_angle_gamma 90.00
_space_group_name_H-M_alt 'P 4/m m m'
_space_group_IT_number 123
_space_group_name_Hall '-P 4 2'
loop_
_atom_site_label
_atom_site_type_symbol
_atom_site_fract_x
_atom_site_fract_y
_atom_site_fract_z
Sr1 Sr 0.000 0.000 0.000
Ir1 Ir 0.500 0.500 0.500
Pt1 Pt 0.000 0.000 0.500
O1 O 0.000 0.500 0.000
```

First-principles (PBE) data for crystalline Sr2IrPtO6 at its relaxed geometry, as listed in Alexandria via LeMat-Bulk.

Properties
D(E_F): 7.4 states/eV per cell
mass density: 7.77 g/cm3
volume: 281.6 Å³/cell
VASP energy: -127.37 eV for the cell shown
ΔE_f (raw): -1567 meV/atom

Cell and atoms, written as CIF:
```
data_Sr2IrPtO6
_cell_length_a 10.898
_cell_length_b 5.440
_cell_length_c 5.007
_cell_angle_alpha 90.00
_cell_angle_beta 108.45
_cell_angle_gamma 90.00
_space_group_name_H-M_alt 'C 1 2/m 1'
_space_group_IT_number 12
loop_
_space_group_symop_operation_xyz
'x,y,z'
'-x,-y,-z'
'-x,y,-z'
'x,-y,z'
'x+1/2,y+1/2,z'
'-x+1/2,-y+1/2,-z'
'-x+1/2,y+1/2,-z'
'x+1/2,-y+1/2,z'
loop_
_atom_site_label
_atom_site_type_symbol
_atom_site_fract_x
_atom_site_fract_y
_atom_site_fract_z
Sr1 Sr 0.230 0.000 0.213
Ir1 Ir 0.000 0.500 0.000
Pt1 Pt 0.000 0.000 0.500
O1 O 0.075 0.247 0.804
O2 O 0.171 0.500 0.271
```

First-principles (PBE) data for crystalline SrIrPtO6 at its relaxed geometry, as listed in Alexandria via LeMat-Bulk.

Properties
D(E_F): 1.8 states/eV per cell
mass density: 7.22 g/cm3
volume: 131.3 Å³/cell
VASP energy: -56.81 eV for the cell shown
ΔE_f (raw): -1164 meV/atom

Cell and atoms, written as CIF:
```
data_SrIrPtO6
_cell_length_a 5.3194
_cell_length_b 5.3194
_cell_length_c 5.3599
_cell_angle_alpha 90.00
_cell_angle_beta 90.00
_cell_angle_gamma 120.00
_space_group_name_H-M_alt 'P 3 1 2'
_space_group_IT_number 149
loop_
_space_group_symop_operation_xyz
'x,y,z'
'-y,x-y,z'
'-x+y,-x,z'
'-y,-x,-z'
'-x+y,y,-z'
'x,x-y,-z'
loop_
_atom_site_label
_atom_site_type_symbol
_atom_site_fract_x
_atom_site_fract_y
_atom_site_fract_z
Sr1 Sr 0.0000 0.0000 0.0000
Ir1 Ir 0.6667 0.3333 0.5000
Pt1 Pt 0.3333 0.6667 0.5000
O1 O 0.3738 0.0078 0.7001
```

First-principles (PBE) data for crystalline TcIrPtO2 at its relaxed geometry, as listed in Alexandria via LeMat-Bulk.

Properties
D(E_F): 5.5 states/eV per cell
mass density: 11.15 g/cm3
volume: 77.0 Å³/cell
VASP energy: -35.20 eV for the cell shown
ΔE_f (raw): -4 meV/atom

Cell and atoms, written as CIF:
```
data_TcIrPtO2
_cell_length_a 3.712
_cell_length_b 3.712
_cell_length_c 5.590
_cell_angle_alpha 90.00
_cell_angle_beta 90.00
_cell_angle_gamma 90.00
_space_group_name_H-M_alt 'P 4/m m m'
_space_group_IT_number 123
_space_group_name_Hall '-P 4 2'
loop_
_atom_site_label
_atom_site_type_symbol
_atom_site_fract_x
_atom_site_fract_y
_atom_site_fract_z
Tc1 Tc 0.000 0.000 0.000
Ir1 Ir 0.500 0.500 0.500
Pt1 Pt 0.000 0.000 0.500
O1 O 0.000 0.500 0.000
```

First-principles (PBE) data for crystalline Tl2IrPt2O6 at its relaxed geometry, as listed in Alexandria via LeMat-Bulk.

Properties
D(E_F): 7.4 states/eV per cell
mass density: 10.15 g/cm3
volume: 355.6 Å³/cell
VASP energy: -121.21 eV for the cell shown
ΔE_f (raw): -471 meV/atom

Cell and atoms, written as CIF:
```
data_Tl2IrPt2O6
_cell_length_a 5.632
_cell_length_b 9.632
_cell_length_c 6.795
_cell_angle_alpha 90.00
_cell_angle_beta 105.28
_cell_angle_gamma 90.00
_space_group_name_H-M_alt 'C 1 2/m 1'
_space_group_IT_number 12
loop_
_space_group_symop_operation_xyz
'x,y,z'
'-x,-y,-z'
'-x,y,-z'
'x,-y,z'
'x+1/2,y+1/2,z'
'-x+1/2,-y+1/2,-z'
'-x+1/2,y+1/2,-z'
'x+1/2,-y+1/2,z'
loop_
_atom_site_label
_atom_site_type_symbol
_atom_site_fract_x
_atom_site_fract_y
_atom_site_fract_z
Tl1 Tl 0.000 0.167 0.000
Ir1 Ir 0.000 0.000 0.500
Pt1 Pt 0.000 0.334 0.500
O1 O 0.211 0.166 0.645
O2 O 0.216 0.500 0.643
```

First-principles (PBE) data for crystalline Tl2IrPtO6 at its relaxed geometry, as listed in Alexandria via LeMat-Bulk.

Properties
D(E_F): 36.6 states/eV per cell
mass density: 10.01 g/cm3
volume: 887.5 Å³/cell
VASP energy: -323.64 eV for the cell shown
ΔE_f (raw): -456 meV/atom

Cell and atoms, written as CIF:
```
data_Tl2IrPtO6
_cell_length_a 5.8869
_cell_length_b 5.8869
_cell_length_c 29.5704
_cell_angle_alpha 90.00
_cell_angle_beta 90.00
_cell_angle_gamma 120.00
_space_group_name_H-M_alt 'R -3 m'
_space_group_IT_number 166
_space_group_name_Hall '-R 3 2"'
loop_
_atom_site_label
_atom_site_type_symbol
_atom_site_fract_x
_atom_site_fract_y
_atom_site_fract_z
Tl1 Tl 0.0000 0.0000 0.1187
Tl2 Tl 0.0000 0.0000 0.2839
Ir1 Ir 0.0000 0.0000 0.0000
Ir2 Ir 0.0000 0.0000 0.5000
Pt1 Pt 0.0000 0.0000 0.4057
O1 O 0.0285 0.5142 0.7068
O2 O 0.0485 0.5242 0.1194
```